# 1
The following is a PBE calculation of an optimized crystal structure of ZnCdRh, from Alexandria via LeMat-Bulk.

Properties
E above lowest polymorph, meV/atom: 277

Lattice parameters (Å, degrees): 6.041 10.430 14.225 90.00 90.00 90.00
Space group Fddd (No. 70, origin choice 2)
Unique sites:
Zn  0.000  0.000  0.000
Cd  0.125  0.125  0.440
Rh  0.081  0.375  0.875

---

# 2
The following is a PBE calculation of an optimized crystal structure of Pm5ErMg4, from Alexandria via LeMat-Bulk.

Lattice parameters (Å, degrees): 3.813 3.813 20.404 90.00 90.00 90.00
Space group P4/mmm (No. 123)
Unique sites:
Pm  0.000  0.000  0.000
Pm  0.000  0.000  0.192
Pm  0.000  0.000  0.385
Er  0.500  0.500  0.500
Mg  0.500  0.500  0.096
Mg  0.500  0.500  0.288

---

no.,magnetic moment (μB/cell),DFT formation energy (kJ/mol of atoms)
1,0.00,7.2
2,0.00,-7.1